No. 1
# Ba2OsN5 PBE relaxed
# final energy = -58.5 eV per cell
# total moment = 1.03 μB per cell
# E_form (uncorrected) = -5.21 kcal/mol of atoms
# V = 34.419 Å³/atom
# symmetry = P1, No. 1
data_Ba2OsN5
_chemical_formula_sum 'Ba2 Os1 N5'
_cell_length_a 6.2239
_cell_length_b 6.1398
_cell_length_c 9.1371
_cell_angle_alpha 104.22
_cell_angle_beta 98.90
_cell_angle_gamma 120.36
_space_group_name_H-M_alt 'P 1'
_space_group_IT_number 1
loop_
_space_group_symop_operation_xyz
'x,y,z'
loop_
_atom_site_label
_atom_site_fract_x
_atom_site_fract_y
_atom_site_fract_z
N1 0.8798 0.2873 0.8927
N2 0.1748 0.0118 0.8745
N3 0.2537 0.8629 0.3320
N4 0.4793 0.0206 0.3566
N5 0.5566 0.6742 0.7793
Os1 0.8716 0.9852 0.8481
Ba1 0.3381 0.7663 0.0133
Ba2 0.4462 0.1687 0.6805

***

No. 2
# Tb5Ga2Rh PBE relaxed
# final energy = -82.1 eV per cell
# total moment = 0.00 μB per cell
# V = 25.450 Å³/atom
# symmetry = Pbam, No. 55
# energy of formation = -559 meV/atom
data_Tb5Ga2Rh
_chemical_formula_sum 'Tb10 Ga4 Rh2'
_cell_length_a 4.6295
_cell_length_b 7.3235
_cell_length_c 12.0105
_cell_angle_alpha 90.00
_cell_angle_beta 90.00
_cell_angle_gamma 90.00
_space_group_name_H-M_alt 'P 1'
_space_group_IT_number 1
loop_
_space_group_symop_operation_xyz
'x,y,z'
loop_
_atom_site_label
_atom_site_fract_x
_atom_site_fract_y
_atom_site_fract_z
Ga1 0.5000 0.9239 0.6652
Ga2 0.5000 0.5761 0.1652
Ga3 0.5000 0.4239 0.8348
Ga4 0.5000 0.0761 0.3348
Tb1 0.0000 0.1434 0.7890
Tb2 0.0000 0.8566 0.2110
Tb3 0.5000 0.6836 0.4172
Tb4 0.0000 0.3566 0.2890
Tb5 0.0000 0.6434 0.7110
Tb6 0.0000 0.0000 0.5000
Tb7 0.5000 0.1836 0.0828
Tb8 0.0000 0.5000 0.0000
Tb9 0.5000 0.8164 0.9172
Tb10 0.5000 0.3164 0.5828
Rh1 0.0000 0.5000 0.5000
Rh2 0.0000 0.0000 0.0000

***

No. 3
# MnFe PBE relaxed
# final energy = -52.7 eV per cell
# total moment = 0.00 μB per cell
# V = 10.435 Å³/atom
# symmetry = Cm, No. 8
# energy of formation = 35 meV/atom
data_MnFe
_chemical_formula_sum 'Mn3 Fe3'
_cell_length_a 2.4648
_cell_length_b 4.6592
_cell_length_c 5.8220
_cell_angle_alpha 76.68
_cell_angle_beta 90.00
_cell_angle_gamma 105.34
_space_group_name_H-M_alt 'P 1'
_space_group_IT_number 1
loop_
_space_group_symop_operation_xyz
'x,y,z'
loop_
_atom_site_label
_atom_site_fract_x
_atom_site_fract_y
_atom_site_fract_z
Fe1 0.3904 0.7809 0.7225
Fe2 0.9983 0.9965 0.0002
Fe3 0.3337 0.6673 0.3346
Mn1 0.6673 0.3346 0.6696
Mn2 0.0530 0.1060 0.3862
Mn3 0.7240 0.4480 0.0534

***

No. 4
# PRuW2 PBE relaxed
# final energy = -41.0 eV per cell
# total moment = 0.00 μB per cell
# V = 14.269 Å³/atom
# symmetry = P4/mmm, No. 123
# energy of formation = -111 meV/atom
data_PRuW2
_chemical_formula_sum 'P1 Ru1 W2'
_cell_length_a 2.9048
_cell_length_b 2.9048
_cell_length_c 6.7641
_cell_angle_alpha 90.00
_cell_angle_beta 90.00
_cell_angle_gamma 90.00
_space_group_name_H-M_alt 'P 1'
_space_group_IT_number 1
loop_
_space_group_symop_operation_xyz
'x,y,z'
loop_
_atom_site_label
_atom_site_fract_x
_atom_site_fract_y
_atom_site_fract_z
P1 0.5000 0.5000 0.0000
Ru1 0.5000 0.5000 0.5000
W1 0.0000 0.0000 0.2263
W2 0.0000 0.0000 0.7737

***

No. 5
# Pr2Ge3Rh5 PBE relaxed
# final energy = -134.0 eV per cell
# total moment = 0.00 μB per cell
# V = 17.903 Å³/atom
# symmetry = Cmc2_1, No. 36
# energy of formation = -685 meV/atom
data_Pr2Ge3Rh5
_chemical_formula_sum 'Pr4 Ge6 Rh10'
_cell_length_a 4.1945
_cell_length_b 6.7642
_cell_length_c 12.7927
_cell_angle_alpha 90.00
_cell_angle_beta 99.44
_cell_angle_gamma 90.00
_space_group_name_H-M_alt 'P 1'
_space_group_IT_number 1
loop_
_space_group_symop_operation_xyz
'x,y,z'
loop_
_atom_site_label
_atom_site_fract_x
_atom_site_fract_y
_atom_site_fract_z
Ge1 0.7711 0.7309 0.5421
Ge2 0.6133 0.4893 0.2267
Ge3 0.3867 0.9893 0.7733
Ge4 0.9457 0.4620 0.8914
Ge5 0.0543 0.9620 0.1086
Ge6 0.2289 0.2309 0.4579
Rh1 0.6033 0.9134 0.2067
Rh2 0.1309 0.2263 0.2619
Rh3 0.3967 0.4134 0.7933
Rh4 0.2903 0.9337 0.5806
Rh5 0.7092 0.0264 0.4184
Rh6 0.0610 0.5900 0.1220
Rh7 0.7097 0.4337 0.4194
Rh8 0.2908 0.5264 0.5816
Rh9 0.9390 0.0900 0.8780
Rh10 0.8691 0.7263 0.7381
Pr1 0.5165 0.2522 0.0329
Pr2 0.8248 0.2407 0.6496
Pr3 0.4835 0.7522 0.9671
Pr4 0.1752 0.7407 0.3504

***

No. 6
# PuAl2Zn9 PBE relaxed
# final energy = -33.1 eV per cell
# total moment = 5.84 μB per cell
# V = 16.776 Å³/atom
# energy above the lowest structure with this stoichiometry = 11.1 kJ per mole of atoms
# symmetry = P6/mmm, No. 191
# energy of formation = 18 meV/atom
data_PuAl2Zn9
_chemical_formula_sum 'Pu1 Al2 Zn9'
_cell_length_a 2.7673
_cell_length_b 9.1652
_cell_length_c 9.1652
_cell_angle_alpha 120.00
_cell_angle_beta 90.00
_cell_angle_gamma 90.00
_space_group_name_H-M_alt 'P 1'
_space_group_IT_number 1
loop_
_space_group_symop_operation_xyz
'x,y,z'
loop_
_atom_site_label
_atom_site_fract_x
_atom_site_fract_y
_atom_site_fract_z
Zn1 0.5000 0.6434 0.8217
Zn2 0.0000 0.5000 0.0000
Zn3 0.0000 0.5000 0.5000
Zn4 0.5000 0.1783 0.8217
Zn5 0.5000 0.3566 0.1783
Zn6 0.5000 0.8217 0.6434
Zn7 0.5000 0.8217 0.1783
Zn8 0.5000 0.1783 0.3566
Zn9 0.0000 0.0000 0.5000
Pu1 0.0000 0.0000 0.0000
Al1 0.0000 0.6667 0.3333
Al2 0.0000 0.3333 0.6667

***

No. 7
# EuGdAlCd PBE relaxed
# final energy = -30.2 eV per cell
# total moment = 14.54 μB per cell
# V = 27.014 Å³/atom
# symmetry = F-43m, No. 216
# energy of formation = -306 meV/atom
data_EuGdAlCd
_chemical_formula_sum 'Eu1 Gd1 Al1 Cd1'
_cell_length_a 5.3463
_cell_length_b 5.3463
_cell_length_c 5.3463
_cell_angle_alpha 60.00
_cell_angle_beta 60.00
_cell_angle_gamma 60.00
_space_group_name_H-M_alt 'P 1'
_space_group_IT_number 1
loop_
_space_group_symop_operation_xyz
'x,y,z'
loop_
_atom_site_label
_atom_site_fract_x
_atom_site_fract_y
_atom_site_fract_z
Eu1 0.5000 0.5000 0.5000
Al1 0.2500 0.2500 0.2500
Gd1 0.0000 0.0000 0.0000
Cd1 0.7500 0.7500 0.7500

***

No. 8
# CaPrGdTm PBE relaxed
# final energy = -24.9 eV per cell
# total moment = 7.43 μB per cell
# V = 34.460 Å³/atom
# symmetry = F-43m, No. 216
# energy of formation = 116 meV/atom
data_CaPrGdTm
_chemical_formula_sum 'Ca1 Pr1 Gd1 Tm1'
_cell_length_a 5.7983
_cell_length_b 5.7983
_cell_length_c 5.7983
_cell_angle_alpha 60.00
_cell_angle_beta 60.00
_cell_angle_gamma 60.00
_space_group_name_H-M_alt 'P 1'
_space_group_IT_number 1
loop_
_space_group_symop_operation_xyz
'x,y,z'
loop_
_atom_site_label
_atom_site_fract_x
_atom_site_fract_y
_atom_site_fract_z
Tm1 0.0000 0.0000 0.0000
Gd1 0.7500 0.7500 0.7500
Ca1 0.5000 0.5000 0.5000
Pr1 0.2500 0.2500 0.2500